This record from Alexandria via LeMat-Bulk describes crystalline Pm6Y2Th at its relaxed geometry. The functional is PBE.

Calculated values
The value obtained for the formation energy is 52 kJ/mol of formula units.

Structure (extended XYZ):
```
9
Lattice="3.6278 0.0000 0.0000 -1.8139 3.1417 0.0000 0.0000 0.0000 26.9941" Properties=species:S:1:pos:R:3 pbc="T T T"
Pm 0.0000 0.0000 1.7808
Pm 0.0000 0.0000 7.5549
Pm 0.0000 0.0000 19.4392
Pm 0.0000 0.0000 25.2133
Pm 0.0000 2.0945 10.5645
Pm 0.0000 2.0945 16.4296
Y 0.0000 2.0945 4.6161
Y 0.0000 2.0945 22.3780
Th 0.0000 0.0000 13.4970
```


This record from Alexandria via LeMat-Bulk describes crystalline Pm14YTh at its relaxed geometry. The functional is PBE.

Calculated values
The value obtained for the formation energy is 32 kJ/mol of formula units.

Structure (extended XYZ):
```
16
Lattice="7.2762 0.0000 0.0000 0.0000 7.2762 0.0000 0.0000 0.0000 10.3242" Properties=species:S:1:pos:R:3 pbc="T T T"
Pm 0.0000 0.0000 0.0000
Pm 0.0000 3.6381 0.0000
Pm 0.0000 3.6381 5.1621
Pm 1.8023 1.8023 2.6087
Pm 1.8023 1.8023 7.7155
Pm 1.8023 5.4739 2.6087
Pm 1.8023 5.4739 7.7155
Pm 3.6381 0.0000 0.0000
Pm 3.6381 0.0000 5.1621
Pm 3.6381 3.6381 0.0000
Pm 5.4739 1.8023 2.6087
Pm 5.4739 1.8023 7.7155
Pm 5.4739 5.4739 2.6087
Pm 5.4739 5.4739 7.7155
Y 3.6381 3.6381 5.1621
Th 0.0000 0.0000 5.1621
```


This record from Alexandria via LeMat-Bulk describes crystalline Pm2Y5Th2 at its relaxed geometry. The functional is PBE.

Calculated values
The value obtained for the formation energy is 236 kJ/mol of formula units.

Structure (extended XYZ):
```
9
Lattice="11.3460 -1.7491 0.0000 11.3460 1.7491 0.0000 -1.4202 0.0000 8.0495" Properties=species:S:1:pos:R:3 pbc="T T T"
Pm 3.6759 0.0000 1.2511
Pm 17.5958 0.0000 6.7984
Y 0.0000 0.0000 0.0000
Y 1.0125 0.0000 5.8691
Y 6.3364 0.0000 3.6389
Y 14.9354 0.0000 4.4106
Y 20.2592 0.0000 2.1804
Th 9.2477 0.0000 5.1992
Th 12.0241 0.0000 2.8503
```


This record from Alexandria via LeMat-Bulk describes crystalline Pm12Y5Th2 at its relaxed geometry. The functional is PBE.

Calculated values
Its polymorph energy (0 for the lowest one) is 0.23 eV per formula unit. The value obtained for the formation energy is 277 kJ/mol of formula units.

Structure (extended XYZ):
```
19
Lattice="11.1929 -3.5521 0.0000 11.1929 3.5521 0.0000 -3.0056 0.0000 8.2329" Properties=species:S:1:pos:R:3 pbc="T T T"
Pm 0.4368 0.0000 1.6416
Pm 4.5893 1.7981 5.8162
Pm 8.4668 1.8178 0.9263
Pm 10.9134 1.8178 7.3066
Pm 6.7244 0.0000 3.6366
Pm 14.7909 1.7981 2.4167
Pm 4.5893 -1.7981 5.8162
Pm 12.6558 0.0000 4.5962
Pm 8.4668 -1.8178 0.9263
Pm 10.9134 -1.8178 7.3066
Pm 14.7909 -1.7981 2.4167
Pm 18.9434 0.0000 6.5912
Y 1.5516 0.0000 4.9161
Y 5.5968 0.0000 0.0680
Y 11.1929 0.0000 0.0000
Y 13.7834 0.0000 8.1649
Y 17.8286 0.0000 3.3168
Th 9.6901 1.7787 4.1164
Th 9.6901 -1.7787 4.1164
```


This record from Alexandria via LeMat-Bulk describes crystalline Pm3Y4Th2 at its relaxed geometry. The functional is PBE.

Calculated values
Its polymorph energy (0 for the lowest one) is 0.00 eV per formula unit. The value obtained for the formation energy is 115 kJ/mol of formula units.

Structure (extended XYZ):
```
9
Lattice="8.3354 -2.9167 0.0000 8.3354 2.9167 0.0000 -1.7272 0.0000 6.1789" Properties=species:S:1:pos:R:3 pbc="T T T"
Pm 0.0000 0.0000 0.0000
Pm 1.1623 0.0000 3.4868
Pm 13.7813 0.0000 2.6921
Y 3.5686 0.0000 0.8178
Y 6.8633 0.0000 1.5823
Y 8.0804 0.0000 4.5966
Y 11.3750 0.0000 5.3611
Th 4.6758 0.0000 4.4037
Th 10.2678 0.0000 1.7752
```


This record from Alexandria via LeMat-Bulk describes crystalline Pm2Y5Th at its relaxed geometry. The functional is PBE.

Calculated values
The value obtained for the formation energy is 21 kJ/mol of formula units.

Structure (extended XYZ):
```
16
Lattice="7.1747 0.0000 0.0000 0.0000 14.3858 0.0000 0.0000 0.0000 5.0931" Properties=species:S:1:pos:R:3 pbc="T T T"
Pm 1.7708 1.7671 0.0000
Pm 1.8166 8.9600 0.0000
Pm 5.3581 5.4258 0.0000
Pm 5.4039 12.6187 0.0000
Y 0.0000 7.1929 2.5465
Y 0.0324 3.5675 2.5465
Y 1.7326 12.6250 0.0000
Y 1.8547 5.4321 0.0000
Y 3.5549 10.7604 2.5465
Y 3.5873 0.0000 2.5465
Y 3.6197 3.6254 2.5465
Y 5.3199 8.9537 0.0000
Y 5.4420 1.7608 0.0000
Y 7.1423 10.8183 2.5465
Th 0.0000 0.0000 2.5465
Th 3.5873 7.1929 2.5465
```


This record from Alexandria via LeMat-Bulk describes crystalline Pm4Y4Th3 at its relaxed geometry. The functional is PBE.

Calculated values
The value obtained for the formation energy is 76 kJ/mol of formula units.

Structure (extended XYZ):
```
11
Lattice="2.8996 -17.6295 0.0000 2.8996 17.6295 0.0000 0.0000 0.0000 3.5844" Properties=species:S:1:pos:R:3 pbc="T T T"
Pm 2.8996 14.2080 0.0000
Pm 2.8996 7.7326 0.0000
Pm 2.8996 -7.7326 0.0000
Pm 2.8996 -14.2080 0.0000
Y 2.8996 10.9713 1.7922
Y 2.8996 1.6158 0.0000
Y 2.8996 -1.6158 0.0000
Y 2.8996 -10.9713 1.7922
Th 0.0000 0.0000 1.7922
Th 2.8996 4.6463 1.7922
Th 2.8996 -4.6463 1.7922
```


This record from Alexandria via LeMat-Bulk describes crystalline Pm2Y3Th3 at its relaxed geometry. The functional is PBE.

Calculated values
The value obtained for the formation energy is 131 kJ/mol of formula units.

Structure (extended XYZ):
```
8
Lattice="9.1169 0.0000 0.0000 -4.5584 7.8955 0.0000 0.0000 0.0000 3.6772" Properties=species:S:1:pos:R:3 pbc="T T T"
Pm 0.0000 5.2636 0.0000
Pm 4.5585 2.6318 0.0000
Y -2.7552 4.7721 1.8386
Y 1.8033 3.1233 1.8386
Y 5.5104 0.0000 1.8386
Th -1.0292 1.7826 0.0000
Th 2.0583 0.0000 0.0000
Th 3.5293 6.1129 0.0000
```


This record from Alexandria via LeMat-Bulk describes crystalline Pm9Y2Th at its relaxed geometry. The functional is PBE.

Calculated values
The value obtained for the formation energy is 34 kJ/mol of formula units.

Structure (extended XYZ):
```
12
Lattice="5.1347 0.0000 0.0000 0.0000 5.1347 0.0000 0.0000 0.0000 15.4026" Properties=species:S:1:pos:R:3 pbc="T T T"
Pm 0.0000 0.0000 0.0000
Pm 0.0000 0.0000 5.1593
Pm 0.0000 0.0000 10.2434
Pm 0.0000 2.5674 2.5264
Pm 0.0000 2.5674 7.7013
Pm 0.0000 2.5674 12.8762
Pm 2.5674 0.0000 2.5264
Pm 2.5674 0.0000 7.7013
Pm 2.5674 0.0000 12.8762
Y 2.5674 2.5674 5.1342
Y 2.5674 2.5674 10.2684
Th 2.5674 2.5674 0.0000
```


This record from Alexandria via LeMat-Bulk describes crystalline Pm6YTh3 at its relaxed geometry. The functional is PBE.

Calculated values
The value obtained for the formation energy is 110 kJ/mol of formula units.

Structure (extended XYZ):
```
20
Lattice="3.5292 0.0000 0.0000 -0.0347 11.9969 0.0000 -0.0131 -5.0433 15.9345" Properties=species:S:1:pos:R:3 pbc="T T T"
Pm 0.8601 0.5319 2.9223
Pm 0.8561 0.8473 11.4415
Pm 0.8638 4.0740 2.1070
Pm 0.8687 -1.2074 8.8955
Pm 0.8553 4.1364 10.8281
Pm 0.8649 10.1679 0.2036
Pm 2.6164 -3.2142 15.7309
Pm 2.6261 2.8172 5.1064
Pm 2.6126 8.1610 7.0390
Pm 2.6175 2.8797 13.8276
Pm 2.6252 6.1064 4.4930
Pm 2.6213 6.4218 13.0122
Y 0.8573 9.0957 3.7218
Y 2.6240 -2.1420 12.2128
Th 0.8338 7.4592 10.0538
Th 0.8542 -0.1268 14.7606
Th 0.8624 4.9810 7.5524
Th 2.6190 1.9727 8.3821
Th 2.6272 7.0805 1.1739
Th 2.6475 -0.5055 5.8808
```